Here is a relaxed structure of Cs2RbLi2 from Alexandria via LeMat-Bulk. Energies are from PBE.

The structure in POSCAR format:
```
Cs2RbLi2
1.0
-0.374 9.966 3.455
0.719 -3.425 9.957
6.130 0.343 -0.325
Cs Rb Li
4 2 4
Cartesian
3.485 -0.401 7.154
3.406 4.063 10.389
2.990 7.284 5.934
3.069 2.820 2.698
0.000 0.000 0.000
0.172 3.270 6.706
0.496 0.876 10.286
0.099 6.857 9.112
-0.151 5.665 3.126
0.245 -0.316 4.301
```

ΔE_f ... 0.1559 eV per atom
E above lowest polymorph ... 17 meV/atom